No. 1
A plane-wave DFT calculation with PBE-GGA was carried out for an optimized crystal structure of CeDyCuPb.

Cell lengths 7.4649, 7.4649, 7.4649 Å; angles 90.00, 90.00, 90.00 degrees
Space group F-43m (No. 216)
Asymmetric unit:
Ce (0.0000, 0.0000, 0.0000) (multiplicity 4)
Dy (0.0000, 0.0000, 0.5000) (multiplicity 4)
Cu (0.2500, 0.2500, 0.2500) (multiplicity 4)
Pb (0.2500, 0.2500, 0.7500) (multiplicity 4)

Calculated values
energy relative to the elements	-0.21	eV per atom
volume	416.0	Å³ per cell

***

No. 2
A plane-wave DFT calculation with PBE-GGA was carried out for an optimized crystal structure of CeDyCuPd.

Cell lengths 7.0704, 7.0704, 7.0704 Å; angles 90.00, 90.00, 90.00 degrees
Space group F-43m (No. 216)
Asymmetric unit:
Ce (0.0000, 0.0000, 0.0000) (multiplicity 4)
Dy (0.0000, 0.0000, 0.5000) (multiplicity 4)
Cu (0.2500, 0.2500, 0.2500) (multiplicity 4)
Pd (0.2500, 0.2500, 0.7500) (multiplicity 4)

Calculated values
energy relative to the elements	-0.43	eV per atom
volume	353.5	Å³ per cell

***

No. 3
A plane-wave DFT calculation with PBE-GGA was carried out for an optimized crystal structure of CeDyCuRe.

Cell lengths 6.9270, 6.9270, 6.9270 Å; angles 90.00, 90.00, 90.00 degrees
Space group F-43m (No. 216)
Asymmetric unit:
Ce (0.0000, 0.0000, 0.0000) (multiplicity 4)
Dy (0.0000, 0.0000, 0.5000) (multiplicity 4)
Cu (0.2500, 0.2500, 0.7500) (multiplicity 4)
Re (0.2500, 0.2500, 0.2500) (multiplicity 4)

Calculated values
energy relative to the elements	0.02	eV per atom
volume	332.4	Å³ per cell

***

| no. | D(E_F) (states/eV/f.u.) | E_tot (eV per atom) | calculated density (g cm⁻³) |
| --- | --- | --- | --- |
| 1 | 9.72 | -4.795 | 9.16 |
| 2 | 6.98 | -5.385 | 8.88 |
| 3 | 4.15 | -6.750 | 11.04 |